The following is a DFT calculation (PBE) of an optimized crystal structure of CaPmPr2Se4.

Properties
Magnetic moment, Bohr magnetons per cell: 0.00
Uncorrected formation energy, kJ/mol of formula units: -1446
SG: P2/m (10)
Crystal system: monoclinic

Lattice parameters (Å, degrees): 4.202 7.360 7.325 70.96 90.00 90.00
Fractional positions:
Ca 0.000 0.500 0.500
Pm 0.500 0.500 0.000
Pr 0.000 0.000 0.000
Pr 0.500 0.000 0.500
Se 0.000 0.742 0.749
Se 0.000 0.258 0.251
Se 0.500 0.741 0.255
Se 0.500 0.259 0.745